## Tm2ScPb (PBE)

Data for crystalline Tm2ScPb at its relaxed geometry.

M_tot	1.3	μB/f.u.
uncorrected energy	-4.986	eV per atom
E_form	-0.2399	eV per atom
E above lowest polymorph	9.0	meV/atom
DOS(E_F)	1.38	states/eV per atom

Cell lengths 4.7407, 4.7407, 4.7053 Å; angles 90.00, 90.00, 90.00 degrees
Last column: nearest neighbours and their distance in Å.
Atoms (fractional coordinates):
Tm 0.0000 0.5000 0.0000  4 Pb 3.34, 4 Sc 3.34, 4 Tm 3.35
Tm 0.5000 0.0000 0.0000  4 Pb 3.34, 4 Sc 3.34, 4 Tm 3.35
Sc 0.0000 0.0000 0.5000  8 Tm 3.34, 4 Pb 3.35
Pb 0.5000 0.5000 0.5000  8 Tm 3.34, 4 Sc 3.35

---

## NpMn2Ga3 (PBE)

Data for crystalline NpMn2Ga3 at its relaxed geometry.

M_tot	0.7	μB/f.u.
uncorrected energy	-6.759	eV per atom
E_form	-0.0318	eV per atom
DOS(E_F)	0.98	states/eV per atom

Cell lengths 5.1222, 5.1222, 8.4974 Å; angles 90.00, 90.00, 67.90 degrees
Last column: nearest neighbours and their distance in Å.
Atoms (fractional coordinates):
Np 0.0993 0.9007 0.7500  2 Mn 2.10
Np 0.9007 0.0993 0.2500  2 Mn 2.10
Mn 0.0297 0.5221 0.7500  1 Np 2.10
Mn 0.4779 0.9703 0.7500  1 Np 2.10
Mn 0.5221 0.0297 0.2500  1 Np 2.10
Mn 0.9703 0.4779 0.2500  1 Np 2.10
Ga 0.2820 0.2820 0.0000  4 Mn 2.55-2.62
Ga 0.2820 0.2820 0.5000  4 Mn 2.55-2.62
Ga 0.4027 0.5973 0.2500  4 Mn 2.51-2.74
Ga 0.5973 0.4027 0.7500  4 Mn 2.51-2.74
Ga 0.7180 0.7180 0.0000  4 Mn 2.55-2.62
Ga 0.7180 0.7180 0.5000  4 Mn 2.55-2.62

---

## AlCrGa3 (PBE)

Data for crystalline AlCrGa3 at its relaxed geometry.

M_tot	1.6	μB/f.u.
uncorrected energy	-4.041	eV per atom
E_form	0.4482	eV per atom
E above lowest polymorph	0.0	meV/atom
DOS(E_F)	0.74	states/eV per atom

Cell lengths 4.7557, 4.7557, 4.7557 Å; angles 90.00, 90.00, 90.00 degrees
Last column: nearest neighbours and their distance in Å.
Atoms (fractional coordinates):
Al 0.0000 0.0000 0.0000  12 Ga 3.36
Cr 0.5000 0.5000 0.5000  6 Ga 2.38
Ga 0.0000 0.5000 0.5000  2 Cr 2.38
Ga 0.5000 0.0000 0.5000  2 Cr 2.38
Ga 0.5000 0.5000 0.0000  2 Cr 2.38